1.
Entry from Alexandria: ZrCdPdRu after structural relaxation (GGA-PBE).

Lattice parameters (Å, degrees): 4.6239 4.6239 4.6239 60.00 60.00 60.00
Atoms (fractional coordinates):
Ru 0.7500 0.7500 0.7500
Zr 0.5000 0.5000 0.5000
Pd 0.2500 0.2500 0.2500
Cd 0.0000 0.0000 0.0000

Summary:
For the formation energy from the elements, the calculation gives -0.38 eV per atom. The density is 9766 kg/m3. The volume comes out at 69.9 Å³ per cell.

2.
Entry from Alexandria: Cd4Pd8S after structural relaxation (GGA-PBE).

Lattice parameters (Å, degrees): 4.1238 3.8960 14.0859 90.00 90.00 90.00
Atoms (fractional coordinates):
Cd 0.0000 0.0000 0.0570
Cd 0.0000 0.5000 0.6169
Cd 0.5000 0.5000 0.4548
Cd 0.5000 0.0000 0.9017
Pd 0.0000 0.0000 0.4664
Pd 0.0000 0.5000 0.9048
Pd 0.5000 0.5000 0.0543
Pd 0.5000 0.0000 0.6116
Pd 0.0000 0.5000 0.2027
Pd 0.0000 0.0000 0.7577
Pd 0.5000 0.0000 0.2144
Pd 0.5000 0.5000 0.7597
S 0.0000 0.0000 0.3011

Summary:
The density is 9781 kg/m3. The formation energy without anion corrections is -0.273 eV per atom. The volume comes out at 226.3 Å³ per cell.

3.
Entry from Alexandria: CdPdS3 after structural relaxation (GGA-PBE).

Lattice parameters (Å, degrees): 4.7272 4.7272 4.7272 90.00 90.00 90.00
Atoms (fractional coordinates):
S 0.0000 0.5000 0.0000
S 0.0000 0.0000 0.5000
S 0.5000 0.0000 0.0000
Pd 0.0000 0.0000 0.0000
Cd 0.5000 0.5000 0.5000

Summary:
The density is 4952 kg/m3. The energy above the most stable polymorph in this dataset comes out at 0 meV per atom. The formation energy without anion corrections is 0.365 eV per atom. The volume comes out at 105.6 Å³ per cell.

4.
Entry from Alexandria: Cd2PdS after structural relaxation (GGA-PBE).

Lattice parameters (Å, degrees): 6.4409 6.4409 6.8950 62.16 62.16 90.00
Atoms (fractional coordinates):
S 0.5000 0.5000 0.0000
S 0.2500 0.7500 0.5000
Pd 0.0000 0.0000 0.0000
Pd 0.7500 0.2500 0.5000
Cd 0.6096 0.1250 0.2500
Cd 0.1404 0.6250 0.2500
Cd 0.3750 0.3904 0.7500
Cd 0.8750 0.8596 0.7500

Summary:
The density is 5618 kg/m3. The formation energy without anion corrections is 0.010 eV per atom. The volume comes out at 214.8 Å³ per cell.

Repeat the first record exactly.
Entry from Alexandria: ZrCdPdRu after structural relaxation (GGA-PBE).

Lattice parameters (Å, degrees): 4.6239 4.6239 4.6239 60.00 60.00 60.00
Atoms (fractional coordinates):
Ru 0.7500 0.7500 0.7500
Zr 0.5000 0.5000 0.5000
Pd 0.2500 0.2500 0.2500
Cd 0.0000 0.0000 0.0000

Summary:
For the formation energy from the elements, the calculation gives -0.38 eV per atom. The density is 9766 kg/m3. The volume comes out at 69.9 Å³ per cell.

Q: What is the volume in the second record?
A: 226.3 Å³ per cell